# 1
First-principles (PBE) data for crystalline Np2Al3Si3 at its relaxed geometry, as listed in Alexandria.

extended XYZ file:
```
8
Lattice="3.944 0.000 0.000 0.000 4.156 0.000 0.000 0.000 8.624" Properties=species:S:1:pos:R:3 pbc="T T T"
Al 0.000 2.078 4.312
Al 1.972 0.000 4.312
Al 0.000 2.078 0.000
Si 1.972 0.000 0.000
Si 1.972 2.078 2.240
Si 1.972 2.078 6.384
Np 0.000 0.000 6.546
Np 0.000 0.000 2.078
```

Computed properties:
Crystal system = orthorhombic
ΔE_f (raw) = -0.207 eV/atom
Electronic total energy = -55.03 eV per formula unit
SG = Pmmm (47)
Mass density = 7.5 Mg/m³

=====

# 2
First-principles (PBE) data for crystalline KBPb at its relaxed geometry, as listed in Alexandria.

extended XYZ file:
```
6
Lattice="-0.770 6.299 -1.941 -5.708 -0.496 -3.481 -1.681 0.857 3.585" Properties=species:S:1:pos:R:3 pbc="T T T"
K -5.378 2.006 -1.744
K -2.781 4.654 -0.093
Pb -6.539 5.564 -0.843
Pb -1.620 1.097 -0.993
B -3.572 0.752 0.577
B -4.588 5.908 -2.414
```

Computed properties:
Relative energy among the computed polymorphs = 5.127 kcal/mol of atoms
Crystal system = triclinic
Electronic total energy = -10.40 eV per formula unit
SG = P-1 (2)
Mass density = 4.9 Mg/m³

=====

# 3
First-principles (PBE) data for crystalline Nd2Sm3Dy6Tm at its relaxed geometry, as listed in Alexandria.

extended XYZ file:
```
12
Lattice="6.205 0.001 0.007 -3.100 5.375 0.007 -1.044 -1.808 11.662" Properties=species:S:1:pos:R:3 pbc="T T T"
Dy 0.000 3.571 8.760
Dy 2.060 -0.004 2.916
Dy -1.033 1.783 2.916
Dy 3.093 1.785 8.760
Dy 2.071 3.585 2.927
Dy -0.010 -0.017 8.748
Sm 1.030 1.784 5.838
Sm -2.072 3.575 5.838
Sm 4.132 -0.008 5.838
Nd 0.003 3.582 0.007
Nd 3.102 1.793 0.007
Tm 0.000 0.000 0.000
```

Computed properties:
Crystal system = monoclinic
Electronic total energy = -55.60 eV per formula unit
SG = C2/m (12)
Mass density = 8.0 Mg/m³

=====

# 4
First-principles (PBE) data for crystalline Ac2Cd3Pd12Pt at its relaxed geometry, as listed in Alexandria.

extended XYZ file:
```
18
Lattice="12.338 3.868 2.743 9.456 8.819 2.743 9.456 5.504 7.416" Properties=species:S:1:pos:R:3 pbc="T T T"
Pd 18.299 9.057 6.424
Pd 14.339 8.347 4.230
Pd 16.912 9.844 8.672
Pd 14.339 6.752 6.479
Pd 9.668 3.964 2.811
Pd 8.221 4.785 5.157
Pd 23.030 11.742 10.091
Pd 8.221 6.449 2.811
Pd 16.912 11.439 6.424
Pd 21.584 14.227 10.091
Pd 23.030 13.405 7.746
Pd 12.952 9.134 6.479
Pt 0.000 0.000 0.000
Ac 20.016 11.651 8.264
Ac 11.235 6.540 4.639
Cd 4.728 2.752 3.708
Cd 6.169 1.934 1.372
Cd 4.728 4.409 1.372
```

Computed properties:
Crystal system = trigonal
Electronic total energy = -84.00 eV per formula unit
SG = R-3m (166)
Mass density = 10.3 Mg/m³

=====

Which value of mass density does entry 4 give? 10.3 Mg/m³

=====

Repeat the second record exactly.
First-principles (PBE) data for crystalline KBPb at its relaxed geometry, as listed in Alexandria.

extended XYZ file:
```
6
Lattice="-0.770 6.299 -1.941 -5.708 -0.496 -3.481 -1.681 0.857 3.585" Properties=species:S:1:pos:R:3 pbc="T T T"
K -5.378 2.006 -1.744
K -2.781 4.654 -0.093
Pb -6.539 5.564 -0.843
Pb -1.620 1.097 -0.993
B -3.572 0.752 0.577
B -4.588 5.908 -2.414
```

Computed properties:
Relative energy among the computed polymorphs = 5.127 kcal/mol of atoms
Crystal system = triclinic
Electronic total energy = -10.40 eV per formula unit
SG = P-1 (2)
Mass density = 4.9 Mg/m³

=====

Look up the electronic total energy of the first one. -55.03 eV per formula unit

=====

Among the records above, which one has the lowest mass density? KBPb